<A>
# PBE SmGdP, optimized geometry
data_SmGdP
_chemical_formula_sum 'Sm4 Gd4 P4'
_symmetry_space_group_name_H-M 'F -4 3 m'
_symmetry_Int_Tables_number 216
_symmetry_space_group_name_Hall 'F -4 2 3'
_cell_length_a 6.761
_cell_length_b 6.761
_cell_length_c 6.761
_cell_angle_alpha 90.00
_cell_angle_beta 90.00
_cell_angle_gamma 90.00
loop_
_atom_site_label
_atom_site_type_symbol
_atom_site_fract_x
_atom_site_fract_y
_atom_site_fract_z
Sm1 Sm 0.000 0.000 0.000
Gd1 Gd 0.000 0.000 0.500
P1 P 0.250 0.250 0.250
# **Density**: 7.3 Mg/m³
# **N(E_F)**: 0.855 states/eV per atom



<B>
# PBE SmGdP, optimized geometry
data_SmGdP
_chemical_formula_sum 'Sm1 Gd1 P1'
_symmetry_space_group_name_H-M 'P 3 m 1'
_symmetry_Int_Tables_number 156
_cell_length_a 3.9380
_cell_length_b 3.9380
_cell_length_c 6.5141
_cell_angle_alpha 90.00
_cell_angle_beta 90.00
_cell_angle_gamma 120.00
loop_
_symmetry_equiv_pos_as_xyz
'x,y,z'
'-y,x-y,z'
'-x+y,-x,z'
'-y,-x,z'
'-x+y,y,z'
'x,x-y,z'
loop_
_atom_site_label
_atom_site_type_symbol
_atom_site_fract_x
_atom_site_fract_y
_atom_site_fract_z
Sm1 Sm 0.0000 0.0000 0.0000
Gd1 Gd 0.3333 0.6667 0.5008
P1 P 0.6667 0.3333 0.2557
# **Density**: 6.4 Mg/m³
# **N(E_F)**: 0.821 states/eV per atom



Referenced to the most stable arrangement, the calculated values in meV per atom are <A> 110; <B> 0.



<A>
# PBE Gd2PaPd, optimized geometry
data_Gd2PaPd
_chemical_formula_sum 'Gd2 Pa1 Pd1'
_symmetry_space_group_name_H-M 'P 4/m m m'
_symmetry_Int_Tables_number 123
_symmetry_space_group_name_Hall '-P 4 2'
_cell_length_a 3.499
_cell_length_b 3.499
_cell_length_c 8.133
_cell_angle_alpha 90.00
_cell_angle_beta 90.00
_cell_angle_gamma 90.00
loop_
_atom_site_label
_atom_site_type_symbol
_atom_site_fract_x
_atom_site_fract_y
_atom_site_fract_z
Gd1 Gd 0.000 0.000 0.219
Pa1 Pa 0.500 0.500 0.500
Pd1 Pd 0.500 0.500 0.000
# **Density**: 10.9 Mg/m³
# **N(E_F)**: 1.369 states/eV per atom



<B>
# PBE Gd2PaPd, optimized geometry
data_Gd2PaPd
_chemical_formula_sum 'Gd6 Pa3 Pd3'
_symmetry_space_group_name_H-M 'R -3 m'
_symmetry_Int_Tables_number 166
_symmetry_space_group_name_Hall '-R 3 2"'
_cell_length_a 3.2581
_cell_length_b 3.2581
_cell_length_c 32.7697
_cell_angle_alpha 90.00
_cell_angle_beta 90.00
_cell_angle_gamma 120.00
loop_
_atom_site_label
_atom_site_type_symbol
_atom_site_fract_x
_atom_site_fract_y
_atom_site_fract_z
Gd1 Gd 0.0000 0.0000 0.0969
Pa1 Pa 0.0000 0.0000 0.0000
Pd1 Pd 0.0000 0.0000 0.5000
# **Density**: 10.8 Mg/m³
# **N(E_F)**: 1.099 states/eV per atom



Referenced to the most stable arrangement, the calculated values in meV per atom are <A> 0; <B> 310.



<A>
# PBE PmGd2Pa, optimized geometry
data_PmGd2Pa
_chemical_formula_sum 'Pm3 Gd6 Pa3'
_symmetry_space_group_name_H-M 'R -3 m'
_symmetry_Int_Tables_number 166
_symmetry_space_group_name_Hall '-R 3 2"'
_cell_length_a 3.3546
_cell_length_b 3.3546
_cell_length_c 37.0364
_cell_angle_alpha 90.00
_cell_angle_beta 90.00
_cell_angle_gamma 120.00
loop_
_atom_site_label
_atom_site_type_symbol
_atom_site_fract_x
_atom_site_fract_y
_atom_site_fract_z
Pm1 Pm 0.0000 0.0000 0.0000
Gd1 Gd 0.0000 0.0000 0.4143
Pa1 Pa 0.0000 0.0000 0.5000
# **Density**: 9.5 Mg/m³
# **N(E_F)**: 1.434 states/eV per atom



<B>
# PBE PmGd2Pa, optimized geometry
data_PmGd2Pa
_chemical_formula_sum 'Pm1 Gd2 Pa1'
_symmetry_space_group_name_H-M 'P 4/m m m'
_symmetry_Int_Tables_number 123
_symmetry_space_group_name_Hall '-P 4 2'
_cell_length_a 3.429
_cell_length_b 3.429
_cell_length_c 10.293
_cell_angle_alpha 90.00
_cell_angle_beta 90.00
_cell_angle_gamma 90.00
loop_
_atom_site_label
_atom_site_type_symbol
_atom_site_fract_x
_atom_site_fract_y
_atom_site_fract_z
Pm1 Pm 0.000 0.000 0.000
Gd1 Gd 0.500 0.500 0.272
Pa1 Pa 0.000 0.000 0.500
# **Density**: 9.5 Mg/m³
# **N(E_F)**: 1.551 states/eV per atom



<C>
# PBE PmGd2Pa, optimized geometry
data_PmGd2Pa
_chemical_formula_sum 'Pm1 Gd2 Pa1'
_symmetry_space_group_name_H-M 'P 4/m m m'
_symmetry_Int_Tables_number 123
_symmetry_space_group_name_Hall '-P 4 2'
_cell_length_a 4.948
_cell_length_b 4.948
_cell_length_c 4.967
_cell_angle_alpha 90.00
_cell_angle_beta 90.00
_cell_angle_gamma 90.00
loop_
_atom_site_label
_atom_site_type_symbol
_atom_site_fract_x
_atom_site_fract_y
_atom_site_fract_z
Pm1 Pm 0.000 0.000 0.000
Gd1 Gd 0.000 0.500 0.500
Pa1 Pa 0.500 0.500 0.000
# **Density**: 9.4 Mg/m³
# **N(E_F)**: 1.637 states/eV per atom



Referenced to the most stable arrangement, the calculated values in meV per atom are <A> 178; <B> 0; <C> 123.